TiPb2W: relaxed, GGA-PBE.

a b c (Å): 4.860 4.860 4.860
angles (deg): 60.00 60.00 60.00
Fractional positions:
Ti (0.000, 0.000, 0.000)
Pb (0.250, 0.250, 0.250)
Pb (0.750, 0.750, 0.750)
W (0.500, 0.500, 0.500)

Computed properties:
DFT total energy: -25.5 eV/cell
Energy relative to the elements: 0.70 eV/atom

***

Fe2Ni5Pd4: relaxed, GGA-PBE.

a b c (Å): 6.970 6.970 5.386
angles (deg): 96.41 96.41 34.14
Fractional positions:
Fe (0.084, 0.084, 0.427)
Fe (0.916, 0.916, 0.573)
Ni (0.000, 0.000, 0.000)
Ni (0.255, 0.255, 0.617)
Ni (0.421, 0.421, 0.833)
Ni (0.579, 0.579, 0.167)
Ni (0.745, 0.745, 0.383)
Pd (0.194, 0.194, 0.069)
Pd (0.400, 0.400, 0.300)
Pd (0.600, 0.600, 0.700)
Pd (0.806, 0.806, 0.931)

Computed properties:
DFT total energy: -65.5 eV/cell
Energy relative to the elements: 0.10 eV/atom

***

Pr4Pt: relaxed, GGA-PBE.

a b c (Å): 5.726 5.726 5.726
angles (deg): 90.00 90.00 90.00
Fractional positions:
Pr (0.000, 0.000, 0.000)
Pr (0.000, 0.500, 0.500)
Pr (0.500, 0.000, 0.500)
Pr (0.500, 0.500, 0.000)
Pt (0.500, 0.500, 0.500)

Computed properties:
DFT total energy: -26.4 eV/cell
Energy relative to the elements: -0.25 eV/atom

***

Rb2ThAu2S4: relaxed, GGA-PBE.

a b c (Å): 8.433 8.433 7.853
angles (deg): 110.31 110.31 29.31
Fractional positions:
Rb (0.137, 0.137, 0.090)
Rb (0.863, 0.863, 0.910)
Th (0.000, 0.000, 0.500)
Au (0.342, 0.342, 0.462)
Au (0.658, 0.658, 0.538)
S (0.187, 0.187, 0.697)
S (0.488, 0.488, 0.733)
S (0.512, 0.512, 0.267)
S (0.813, 0.813, 0.303)

Computed properties:
Uncorrected formation energy: -1.088 eV per atom
DFT total energy: -42.2 eV/cell

***

LaTb6Te8: relaxed, GGA-PBE.

a b c (Å): 8.227 8.227 8.227
angles (deg): 69.55 69.55 69.55
Fractional positions:
La (0.000, 0.000, 0.000)
Tb (0.078, 0.452, 0.693)
Tb (0.307, 0.922, 0.548)
Tb (0.452, 0.693, 0.078)
Tb (0.548, 0.307, 0.922)
Tb (0.693, 0.078, 0.452)
Tb (0.922, 0.548, 0.307)
Te (0.101, 0.805, 0.375)
Te (0.195, 0.625, 0.899)
Te (0.326, 0.326, 0.326)
Te (0.375, 0.101, 0.805)
Te (0.625, 0.899, 0.195)
Te (0.674, 0.674, 0.674)
Te (0.805, 0.375, 0.101)
Te (0.899, 0.195, 0.625)

Computed properties:
Uncorrected formation energy: -1.266 eV per atom
DFT total energy: -76.8 eV/cell

***

CaCo2Ni: relaxed, GGA-PBE.

a b c (Å): 8.702 8.702 8.702
angles (deg): 18.33 18.33 18.33
Fractional positions:
Ca (0.000, 0.000, 0.000)
Co (0.499, 0.499, 0.499)
Co (0.762, 0.762, 0.762)
Ni (0.241, 0.241, 0.241)

Computed properties:
DFT total energy: -19.5 eV/cell
Energy relative to the elements: 0.61 eV/atom

***

Q: What is the formula in the third record?
A: Pr4Pt

***

Q: Which value of DFT total energy does entry 4 give?
A: -42.2 eV/cell